Record 1
The following is a DFT calculation (GGA-PBE) of crystalline LiTcHg2 at its relaxed geometry.

```
LiTcHg2
1.0
2.813 0.000 0.000
0.000 2.813 0.000
0.000 0.000 9.326
Hg Tc Li
2 1 1
direct
0.000 0.000 0.975 Hg
0.500 0.500 0.281 Hg
0.500 0.500 0.732 Tc
0.000 0.000 0.512 Li
```

Calculated values
E_form: 367.7 meV per atom
crystal system: tetragonal
final energy: -2.85 eV per atom
E above lowest polymorph: 0.209 eV per atom
space group: P4mm (99)

***

Record 2
The following is a DFT calculation (GGA-PBE) of crystalline Cd4CuOs at its relaxed geometry.

```
Cd4CuOs
1.0
3.443 -3.857 -1.780
-0.850 -5.240 1.312
-1.616 -3.551 -3.832
Cu Cd Os
1 4 1
direct
0.750 0.750 0.750 Cu
0.375 0.876 0.375 Cd
0.375 0.375 0.876 Cd
0.876 0.375 0.375 Cd
0.375 0.375 0.375 Cd
0.000 0.000 0.000 Os
```

Calculated values
E_form: 792.8 meV per atom
crystal system: cubic
final energy: -2.37 eV per atom
space group: F-43m (216)

***

Record 3
The following is a DFT calculation (GGA-PBE) of crystalline Ce2PrSm at its relaxed geometry.

```
Ce2PrSm
1.0
3.432 0.000 0.000
1.716 2.972 0.000
1.716 0.991 12.431
Sm Ce Pr
1 2 1
direct
0.000 0.000 0.000 Sm
0.914 0.914 0.257 Ce
0.086 0.086 0.743 Ce
0.500 0.500 0.500 Pr
```

Calculated values
E_form: 251.6 meV per atom
crystal system: trigonal
final energy: -5.09 eV per atom
E above lowest polymorph: 0.134 eV per atom
space group: R-3m (166)